[1]
## Sr2LiMn (PBE)

Data for an optimized crystal structure of Sr2LiMn.

## Properties
The crystal system is trigonal. Its raw total energy is -0.1195 hartree per atom. The polymorph energy (0 for the lowest one) comes out at 35 meV/atom.

Unit cell a=4.5940 b=4.5940 c=23.9733 alpha=90.00 beta=90.00 gamma=120.00
Space group R3m (No. 160, hexagonal axes)
One atom of each set of equivalent atoms:
Sr (0.0000, 0.0000, 0.0000) x3
Sr (0.0000, 0.0000, 0.1844) x3
Li (0.0000, 0.0000, 0.4253) x3
Mn (0.0000, 0.0000, 0.7596) x3

***

[2]
## Na2UIO8 (PBE)

Data for an optimized crystal structure of Na2UIO8.

## Properties
The value obtained for the uncorrected formation energy is -1.506 eV per atom. The crystal system is monoclinic. Its raw total energy is -0.2242 hartree per atom.

Unit cell a=5.1423 b=6.7087 c=5.1538 alpha=90.00 beta=93.29 gamma=90.00
Space group P2/m (No. 10)
One atom of each set of equivalent atoms:
Na (0.0000, 0.2357, 0.0000) x2
U (0.5000, 0.5000, 0.5000) x1
I (0.5000, 0.0000, 0.5000) x1
O (0.2360, 0.5000, 0.2389) x2
O (0.2385, 0.0000, 0.2420) x2
O (0.3288, 0.2149, 0.6731) x4

***

[3]
## DyErCo2Ge2 (PBE)

Data for an optimized crystal structure of DyErCo2Ge2.

## Properties
The crystal system is trigonal. Its raw total energy is -0.2220 hartree per atom.

Unit cell a=4.1783 b=4.1783 c=7.0916 alpha=90.00 beta=90.00 gamma=120.00
Space group P-3m1 (No. 164)
One atom of each set of equivalent atoms:
Dy (0.0000, 0.0000, 0.0000) x1
Er (0.0000, 0.0000, 0.5000) x1
Co (0.3333, 0.6667, 0.7338) x2
Ge (0.3333, 0.6667, 0.2574) x2